Entry from the Alexandria database: a relaxed Cd2Fe crystal (PBE-GGA).

The value obtained for the density is 8.6 g/cm3. As for the volume: 18.07 Å³/atom. The formation energy comes out at 395 meV/atom. The uncorrected energy comes out at -18.22 eV/cell. The value obtained for the magnetic moment is 5.2 Bohr magnetons per cell.

Geometry as CIF:
```
data_Cd2Fe
_cell_length_a 4.7027
_cell_length_b 4.7027
_cell_length_c 5.6601
_cell_angle_alpha 90.00
_cell_angle_beta 90.00
_cell_angle_gamma 120.00
_symmetry_space_group_name_H-M 'P 63/m m c'
_symmetry_Int_Tables_number 194
_symmetry_space_group_name_Hall '-P 6c 2c'
loop_
_atom_site_label
_atom_site_type_symbol
_atom_site_fract_x
_atom_site_fract_y
_atom_site_fract_z
Cd1 Cd 0.0000 0.0000 0.0000
Cd2 Cd 0.3333 0.6667 0.2500
Fe1 Fe 0.3333 0.6667 0.7500
```



Entry from the Alexandria database: a relaxed Cd2Fe crystal (PBE-GGA).

The value obtained for the density is 8.6 g/cm3. As for the volume: 18.03 Å³/atom. The formation energy comes out at 364 meV/atom. The uncorrected energy comes out at -36.81 eV/cell. The value obtained for the magnetic moment is 10.7 Bohr magnetons per cell.

Geometry as CIF:
```
data_Cd2Fe
_cell_length_a 2.994
_cell_length_b 14.793
_cell_length_c 4.886
_cell_angle_alpha 90.00
_cell_angle_beta 90.00
_cell_angle_gamma 90.00
_symmetry_space_group_name_H-M 'C m c m'
_symmetry_Int_Tables_number 63
_symmetry_space_group_name_Hall '-C 2c 2'
loop_
_atom_site_label
_atom_site_type_symbol
_atom_site_fract_x
_atom_site_fract_y
_atom_site_fract_z
Cd1 Cd 0.000 0.063 0.250
Cd2 Cd 0.000 0.261 0.750
Fe1 Fe 0.000 0.401 0.250
```



Entry from the Alexandria database: a relaxed Cd3Fe4 crystal (PBE-GGA).

The value obtained for the density is 8.5 g/cm3. As for the volume: 15.68 Å³/atom. The formation energy comes out at 209 meV/atom. As for the energy above the most stable polymorph in this dataset: 0 meV per atom. The uncorrected energy comes out at -70.26 eV/cell. The value obtained for the magnetic moment is 19.6 Bohr magnetons per cell.

Geometry as CIF:
```
data_Cd3Fe4
_cell_length_a 3.056
_cell_length_b 3.056
_cell_length_c 23.506
_cell_angle_alpha 90.00
_cell_angle_beta 90.00
_cell_angle_gamma 90.00
_symmetry_space_group_name_H-M 'I 4/m m m'
_symmetry_Int_Tables_number 139
_symmetry_space_group_name_Hall '-I 4 2'
loop_
_atom_site_label
_atom_site_type_symbol
_atom_site_fract_x
_atom_site_fract_y
_atom_site_fract_z
Cd1 Cd 0.000 0.000 0.000
Cd2 Cd 0.000 0.000 0.298
Fe1 Fe 0.000 0.000 0.124
Fe2 Fe 0.000 0.000 0.422
```



Entry from the Alexandria database: a relaxed Cd4Fe3 crystal (PBE-GGA).

The value obtained for the density is 8.5 g/cm3. As for the volume: 17.19 Å³/atom. The formation energy comes out at 282 meV/atom. As for the energy above the most stable polymorph in this dataset: 53 meV per atom. The uncorrected energy comes out at -27.07 eV/cell. The value obtained for the magnetic moment is 8.0 Bohr magnetons per cell.

Geometry as CIF:
```
data_Cd4Fe3
_cell_length_a 5.0678
_cell_length_b 5.0678
_cell_length_c 5.4108
_cell_angle_alpha 90.00
_cell_angle_beta 90.00
_cell_angle_gamma 120.00
_symmetry_space_group_name_H-M 'P 6/m m m'
_symmetry_Int_Tables_number 191
_symmetry_space_group_name_Hall '-P 6 2'
loop_
_atom_site_label
_atom_site_type_symbol
_atom_site_fract_x
_atom_site_fract_y
_atom_site_fract_z
Cd1 Cd 0.0000 0.0000 0.2485
Cd2 Cd 0.3333 0.6667 0.5000
Fe1 Fe 0.0000 0.5000 0.0000
```



Entry from the Alexandria database: a relaxed CdFe2 crystal (PBE-GGA).

The value obtained for the density is 8.5 g/cm3. As for the volume: 14.57 Å³/atom. The formation energy comes out at 323 meV/atom. The uncorrected energy comes out at -16.87 eV/cell. The value obtained for the magnetic moment is 5.0 Bohr magnetons per cell.

Geometry as CIF:
```
data_CdFe2
_cell_length_a 4.3352
_cell_length_b 4.3352
_cell_length_c 2.6853
_cell_angle_alpha 90.00
_cell_angle_beta 90.00
_cell_angle_gamma 120.00
_symmetry_space_group_name_H-M 'P 6/m m m'
_symmetry_Int_Tables_number 191
_symmetry_space_group_name_Hall '-P 6 2'
loop_
_atom_site_label
_atom_site_type_symbol
_atom_site_fract_x
_atom_site_fract_y
_atom_site_fract_z
Cd1 Cd 0.0000 0.0000 0.0000
Fe1 Fe 0.3333 0.6667 0.5000
```



Entry from the Alexandria database: a relaxed Cd2Fe crystal (PBE-GGA).

The value obtained for the density is 8.6 g/cm3. As for the volume: 18.00 Å³/atom. The formation energy comes out at 258 meV/atom. The uncorrected energy comes out at -19.04 eV/cell. The value obtained for the magnetic moment is 5.2 Bohr magnetons per cell.

Geometry as CIF:
```
data_Cd2Fe
_cell_length_a 2.890
_cell_length_b 2.890
_cell_length_c 12.928
_cell_angle_alpha 90.00
_cell_angle_beta 90.00
_cell_angle_gamma 90.00
_symmetry_space_group_name_H-M 'I 4/m m m'
_symmetry_Int_Tables_number 139
_symmetry_space_group_name_Hall '-I 4 2'
loop_
_atom_site_label
_atom_site_type_symbol
_atom_site_fract_x
_atom_site_fract_y
_atom_site_fract_z
Cd1 Cd 0.000 0.000 0.153
Fe1 Fe 0.000 0.000 0.500
```



Entry from the Alexandria database: a relaxed CdFe2 crystal (PBE-GGA).

The value obtained for the density is 8.5 g/cm3. As for the volume: 14.67 Å³/atom. The formation energy comes out at 219 meV/atom. The uncorrected energy comes out at -68.74 eV/cell. The value obtained for the magnetic moment is 19.8 Bohr magnetons per cell.

Geometry as CIF:
```
data_CdFe2
_cell_length_a 9.567
_cell_length_b 3.048
_cell_length_c 6.394
_cell_angle_alpha 90.00
_cell_angle_beta 109.22
_cell_angle_gamma 90.00
_symmetry_space_group_name_H-M 'C 1 2/m 1'
_symmetry_Int_Tables_number 12
loop_
_symmetry_equiv_pos_as_xyz
'x,y,z'
'-x,-y,-z'
'-x,y,-z'
'x,-y,z'
'x+1/2,y+1/2,z'
'-x+1/2,-y+1/2,-z'
'-x+1/2,y+1/2,-z'
'x+1/2,-y+1/2,z'
loop_
_atom_site_label
_atom_site_type_symbol
_atom_site_fract_x
_atom_site_fract_y
_atom_site_fract_z
Cd1 Cd 0.160 0.000 0.100
Fe1 Fe 0.007 0.500 0.705
Fe2 Fe 0.158 0.000 0.558
```



Entry from the Alexandria database: a relaxed Cd4Fe5 crystal (PBE-GGA).

The value obtained for the density is 8.4 g/cm3. As for the volume: 16.04 Å³/atom. The formation energy comes out at 464 meV/atom. As for the energy above the most stable polymorph in this dataset: 166 meV per atom. The uncorrected energy comes out at -83.60 eV/cell. The value obtained for the magnetic moment is 27.3 Bohr magnetons per cell.

Geometry as CIF:
```
data_Cd4Fe5
_cell_length_a 7.8358
_cell_length_b 7.8358
_cell_length_c 5.4310
_cell_angle_alpha 90.00
_cell_angle_beta 90.00
_cell_angle_gamma 120.00
_symmetry_space_group_name_H-M 'P 63/m c m'
_symmetry_Int_Tables_number 193
_symmetry_space_group_name_Hall '-P 6c 2'
loop_
_atom_site_label
_atom_site_type_symbol
_atom_site_fract_x
_atom_site_fract_y
_atom_site_fract_z
Cd1 Cd 0.0000 0.0000 0.0000
Cd2 Cd 0.0000 0.3326 0.2500
Fe1 Fe 0.0000 0.3482 0.7500
Fe2 Fe 0.3333 0.6667 0.0000
```



Entry from the Alexandria database: a relaxed Cd2Fe crystal (PBE-GGA).

The value obtained for the density is 8.5 g/cm3. As for the volume: 18.34 Å³/atom. The formation energy comes out at 289 meV/atom. The uncorrected energy comes out at -37.70 eV/cell. The value obtained for the magnetic moment is 10.8 Bohr magnetons per cell.

Geometry as CIF:
```
data_Cd2Fe
_cell_length_a 2.927
_cell_length_b 16.443
_cell_length_c 4.572
_cell_angle_alpha 90.00
_cell_angle_beta 90.00
_cell_angle_gamma 90.00
_symmetry_space_group_name_H-M 'C m c m'
_symmetry_Int_Tables_number 63
_symmetry_space_group_name_Hall '-C 2c 2'
loop_
_atom_site_label
_atom_site_type_symbol
_atom_site_fract_x
_atom_site_fract_y
_atom_site_fract_z
Cd1 Cd 0.000 0.061 0.250
Cd2 Cd 0.000 0.372 0.250
Fe1 Fe 0.000 0.270 0.750
```



Entry from the Alexandria database: a relaxed Cd3Fe crystal (PBE-GGA).

The value obtained for the density is 8.6 g/cm3. As for the volume: 18.91 Å³/atom. The formation energy comes out at 212 meV/atom. The uncorrected energy comes out at -10.36 eV/cell. The value obtained for the magnetic moment is 2.4 Bohr magnetons per cell.

Geometry as CIF:
```
data_Cd3Fe
_cell_length_a 2.958
_cell_length_b 2.958
_cell_length_c 8.647
_cell_angle_alpha 90.00
_cell_angle_beta 90.00
_cell_angle_gamma 90.00
_symmetry_space_group_name_H-M 'P 4/m m m'
_symmetry_Int_Tables_number 123
_symmetry_space_group_name_Hall '-P 4 2'
loop_
_atom_site_label
_atom_site_type_symbol
_atom_site_fract_x
_atom_site_fract_y
_atom_site_fract_z
Cd1 Cd 0.000 0.000 0.000
Cd2 Cd 0.500 0.500 0.280
Fe1 Fe 0.000 0.000 0.500
```



Entry from the Alexandria database: a relaxed Cd3Fe crystal (PBE-GGA).

The value obtained for the density is 8.7 g/cm3. As for the volume: 18.80 Å³/atom. The formation energy comes out at 267 meV/atom. The uncorrected energy comes out at -20.28 eV/cell. The value obtained for the magnetic moment is 5.0 Bohr magnetons per cell.

Geometry as CIF:
```
data_Cd3Fe
_cell_length_a 5.938
_cell_length_b 8.556
_cell_length_c 2.961
_cell_angle_alpha 90.00
_cell_angle_beta 90.00
_cell_angle_gamma 90.00
_symmetry_space_group_name_H-M 'C m m m'
_symmetry_Int_Tables_number 65
_symmetry_space_group_name_Hall '-C 2 2'
loop_
_atom_site_label
_atom_site_type_symbol
_atom_site_fract_x
_atom_site_fract_y
_atom_site_fract_z
Cd1 Cd 0.000 0.000 0.000
Cd2 Cd 0.250 0.250 0.500
Fe1 Fe 0.000 0.500 0.000
```



Entry from the Alexandria database: a relaxed CdFe2 crystal (PBE-GGA).

The value obtained for the density is 8.4 g/cm3. As for the volume: 14.75 Å³/atom. The formation energy comes out at 437 meV/atom. The uncorrected energy comes out at -49.59 eV/cell. The value obtained for the magnetic moment is 15.1 Bohr magnetons per cell.

Geometry as CIF:
```
data_CdFe2
_cell_length_a 7.6197
_cell_length_b 7.6197
_cell_length_c 2.6397
_cell_angle_alpha 90.00
_cell_angle_beta 90.00
_cell_angle_gamma 120.00
_symmetry_space_group_name_H-M 'P -6 2 m'
_symmetry_Int_Tables_number 189
_symmetry_space_group_name_Hall 'P -6 -2'
loop_
_atom_site_label
_atom_site_type_symbol
_atom_site_fract_x
_atom_site_fract_y
_atom_site_fract_z
Cd1 Cd 0.0000 0.0000 0.0000
Cd2 Cd 0.3333 0.6667 0.5000
Fe1 Fe 0.0000 0.3146 0.5000
Fe2 Fe 0.0000 0.6496 0.0000
```



Entry from the Alexandria database: a relaxed Cd2Fe crystal (PBE-GGA).

The value obtained for the density is 8.3 g/cm3. As for the volume: 18.65 Å³/atom. The formation energy comes out at 243 meV/atom. The uncorrected energy comes out at -38.25 eV/cell. The value obtained for the magnetic moment is 10.2 Bohr magnetons per cell.

Geometry as CIF:
```
data_Cd2Fe
_cell_length_a 10.383
_cell_length_b 3.016
_cell_length_c 7.369
_cell_angle_alpha 90.00
_cell_angle_beta 104.17
_cell_angle_gamma 90.00
_symmetry_space_group_name_H-M 'C 1 m 1'
_symmetry_Int_Tables_number 8
loop_
_symmetry_equiv_pos_as_xyz
'x,y,z'
'x,-y,z'
'x+1/2,y+1/2,z'
'x+1/2,-y+1/2,z'
loop_
_atom_site_label
_atom_site_type_symbol
_atom_site_fract_x
_atom_site_fract_y
_atom_site_fract_z
Cd1 Cd 0.000 0.000 0.000
Cd2 Cd 0.017 0.000 0.442
Cd3 Cd 0.175 0.500 0.790
Cd4 Cd 0.298 0.000 0.160
Fe1 Fe 0.245 0.500 0.448
Fe2 Fe 0.373 0.000 0.667
```